Record 1
Entry from Alexandria: a geometry-optimized Mg3CuO4 structure (PBE).

a = 4.246 Å, b = 4.246 Å, c = 4.246 Å
α = 90.00°, β = 90.00°, γ = 90.00°
Atoms (fractional coordinates):
1 Mg 0.000 0.500 0.500
2 Mg 0.500 0.000 0.500
3 Mg 0.500 0.500 0.000
4 Cu 0.000 0.000 0.000
5 O 0.500 0.000 0.000
6 O 0.500 0.500 0.500
7 O 0.000 0.000 0.500
8 O 0.000 0.500 0.000

Values from the calculation:
Its calculated total energy is -5.750 eV per atom. The value obtained for the total magnetic moment is 0.00 μB/f.u. The calculation puts the uncorrected formation energy at -2.16 eV/atom. Its crystal system is cubic. As for the space group: Pm-3m (221).


Record 2
Entry from Alexandria: a geometry-optimized Ta2Ti5Cu2 structure (PBE).

a = 2.846 Å, b = 7.741 Å, c = 6.882 Å
α = 76.69°, β = 86.66°, γ = 88.69°
Atoms (fractional coordinates):
1 Ta 0.822 0.891 0.675
2 Ta 0.178 0.109 0.325
3 Ti 0.527 0.768 0.362
4 Ti 0.473 0.232 0.638
5 Ti 0.059 0.540 0.704
6 Ti 0.941 0.460 0.296
7 Ti 0.000 0.000 0.000
8 Cu 0.435 0.674 0.002
9 Cu 0.565 0.326 0.998

Values from the calculation:
Its calculated total energy is -7.873 eV per atom. The value obtained for the total magnetic moment is 0.00 μB/f.u. Its energy of formation is 0.5 eV/f.u. Its crystal system is triclinic. As for the space group: P-1 (2).


Record 3
Entry from Alexandria: a geometry-optimized RbCI3 structure (PBE).

a = 5.407 Å, b = 5.407 Å, c = 5.407 Å
α = 90.00°, β = 90.00°, γ = 90.00°
Atoms (fractional coordinates):
1 I 0.000 0.500 0.000
2 I 0.000 0.000 0.500
3 I 0.500 0.000 0.000
4 C 0.000 0.000 0.000
5 Rb 0.500 0.500 0.500

Values from the calculation:
Its calculated total energy is -2.566 eV per atom. The value obtained for the total magnetic moment is 0.00 μB/f.u. The calculation puts the uncorrected formation energy at 0.40 eV/atom. For the energy above the most stable polymorph in this dataset, the calculation gives 0.000 eV/atom. Its crystal system is cubic. As for the space group: Pm-3m (221).


Record 4
Entry from Alexandria: a geometry-optimized LiZnFe structure (PBE).

a = 2.579 Å, b = 3.770 Å, c = 8.518 Å
α = 90.00°, β = 75.83°, γ = 90.01°
Atoms (fractional coordinates):
1 Fe 0.123 0.750 0.574
2 Fe 0.877 0.250 0.426
3 Zn 0.526 0.750 0.266
4 Zn 0.474 0.250 0.734
5 Li 0.827 0.750 0.902
6 Li 0.173 0.250 0.098

Values from the calculation:
Its calculated total energy is -3.907 eV per atom. The value obtained for the total magnetic moment is 2.26 μB/f.u. Its energy of formation is -0.1 eV/f.u. For the energy above the most stable polymorph in this dataset, the calculation gives 0.000 eV/atom. Its crystal system is monoclinic. As for the space group: P2_1/m (11).


Question: Which of these has the highest calculated total energy?
Answer: RbCI3


Question: Which value of calculated total energy does entry 2 give?
Answer: -7.873 eV per atom